Here is an optimized crystal structure of ScTiB2H from the Alexandria database. Energies are from PBE. Values from VASP.

Output
As for the space group: P4/mmm, No. 123.

Structure (Quantum ESPRESSO input):
```
&SYSTEM
  ibrav = 0, nat = 5, ntyp = 4
/
ATOMIC_SPECIES
B 10.81 B.upf
H 1.01 H.upf
Sc 44.96 Sc.upf
Ti 47.87 Ti.upf
ATOMIC_POSITIONS crystal
B 0.500 0.000 0.000
B 0.000 0.000 0.500
H 0.000 0.500 0.000
Sc 0.500 0.500 0.500
Ti 0.000 0.000 0.000
CELL_PARAMETERS angstrom
-3.875 -1.406 -0.586
0.903 -3.063 1.376
-1.073 1.381 3.779
```

Here is an optimized crystal structure of Pm2TeNF from the Alexandria database. Energies are from PBE. Values from VASP.

Output
The uncorrected formation energy is -2159 meV/atom. As for the space group: I-4m2, No. 119.

Structure (Quantum ESPRESSO input):
```
&SYSTEM
  ibrav = 0, nat = 5, ntyp = 4
/
ATOMIC_SPECIES
Pm 145.00 Pm.upf
N 14.01 N.upf
Te 127.60 Te.upf
F 19.00 F.upf
ATOMIC_POSITIONS crystal
Pm 0.344 0.344 0.688
Pm 0.656 0.656 0.312
N 0.750 0.250 0.500
Te 0.000 0.000 0.000
F 0.250 0.750 0.500
CELL_PARAMETERS angstrom
4.046 0.000 0.000
0.000 4.046 0.000
-2.023 -2.023 6.532
```

Here is an optimized crystal structure of K3CoP from the Alexandria database. Energies are from PBE. Values from VASP.

Output
Its energy above the lowest structure with this stoichiometry is 0 meV per atom. As for the space group: Pm-3m, No. 221. The formation energy is 0.65 eV/atom.

Structure (Quantum ESPRESSO input):
```
&SYSTEM
  ibrav = 0, nat = 5, ntyp = 3
/
ATOMIC_SPECIES
K 39.10 K.upf
P 30.97 P.upf
Co 58.93 Co.upf
ATOMIC_POSITIONS crystal
K 0.000 0.500 0.000
K 0.500 0.000 0.000
K 0.000 0.000 0.500
P 0.000 0.000 0.000
Co 0.500 0.500 0.500
CELL_PARAMETERS angstrom
6.217 0.000 0.000
0.000 6.217 0.000
0.000 0.000 6.217
```

Here is an optimized crystal structure of YMo2 from the Alexandria database. Energies are from PBE. Values from VASP.

Output
As for the space group: P4/mmm, No. 123. The formation energy is 0.59 eV/atom.

Structure (Quantum ESPRESSO input):
```
&SYSTEM
  ibrav = 0, nat = 3, ntyp = 2
/
ATOMIC_SPECIES
Mo 95.94 Mo.upf
Y 88.91 Y.upf
ATOMIC_POSITIONS crystal
Mo 0.500 0.000 0.500
Mo 0.000 0.500 0.500
Y 0.000 0.000 0.000
CELL_PARAMETERS angstrom
3.623 0.000 0.000
0.000 3.623 0.000
0.000 0.000 5.189
```

Here is an optimized crystal structure of Sr2HgAu16 from the Alexandria database. Energies are from PBE. Values from VASP.

Output
As for the space group: R3m, No. 160. The formation energy is -0.28 eV/atom.

Structure (Quantum ESPRESSO input):
```
&SYSTEM
  ibrav = 0, nat = 19, ntyp = 3
/
ATOMIC_SPECIES
Au 196.97 Au.upf
Sr 87.62 Sr.upf
Hg 200.59 Hg.upf
ATOMIC_POSITIONS crystal
Au 0.001 0.001 0.498
Au 0.346 0.841 0.346
Au 0.312 0.000 0.689
Au 0.689 0.312 0.000
Au 0.652 0.652 0.165
Au 0.652 0.165 0.652
Au 0.165 0.652 0.652
Au 0.000 0.312 0.689
Au 0.104 0.104 0.104
Au 0.689 0.000 0.312
Au 0.001 0.498 0.001
Au 0.841 0.346 0.346
Au 0.498 0.001 0.001
Au 0.346 0.346 0.841
Au 0.000 0.689 0.312
Au 0.312 0.689 0.000
Sr 0.338 0.338 0.338
Sr 0.655 0.655 0.655
Hg 0.903 0.903 0.903
CELL_PARAMETERS angstrom
7.341 0.022 0.852
0.762 7.301 0.852
0.025 0.022 7.390
```

Here is an optimized crystal structure of AcCe2PrP4 from the Alexandria database. Energies are from PBE. Values from VASP.

Output
As for the space group: P2/m, No. 10. The formation energy is -1.48 eV/atom.

Structure (Quantum ESPRESSO input):
```
&SYSTEM
  ibrav = 0, nat = 8, ntyp = 4
/
ATOMIC_SPECIES
Ac 227.00 Ac.upf
P 30.97 P.upf
Ce 140.12 Ce.upf
Pr 140.91 Pr.upf
ATOMIC_POSITIONS crystal
Ac 0.500 0.500 0.000
P 0.000 0.231 0.263
P 0.000 0.769 0.737
P 0.500 0.236 0.749
P 0.500 0.764 0.251
Ce 0.000 0.000 0.000
Ce 0.500 0.000 0.500
Pr 0.000 0.500 0.500
CELL_PARAMETERS angstrom
-2.735 0.759 3.101
-5.483 -2.126 -4.317
-1.077 -7.164 0.802
```

Here is an optimized crystal structure of GaSn3Pd from the Alexandria database. Energies are from PBE. Values from VASP.

Output
Its energy above the lowest structure with this stoichiometry is 0 meV per atom. As for the space group: C2/m, No. 12. The formation energy is -0.20 eV/atom.

Structure (Quantum ESPRESSO input):
```
&SYSTEM
  ibrav = 0, nat = 10, ntyp = 3
/
ATOMIC_SPECIES
Sn 118.71 Sn.upf
Ga 69.72 Ga.upf
Pd 106.42 Pd.upf
ATOMIC_POSITIONS crystal
Sn 0.606 0.996 0.172
Sn 0.433 0.433 0.310
Sn 0.567 0.567 0.690
Sn 0.394 0.004 0.828
Sn 0.996 0.606 0.172
Sn 0.004 0.394 0.828
Ga 0.943 0.943 0.356
Ga 0.057 0.057 0.644
Pd 0.242 0.242 0.132
Pd 0.758 0.758 0.868
CELL_PARAMETERS angstrom
-3.029 -4.701 4.056
3.698 -5.652 -1.452
3.498 -2.869 4.768
```

Here is an optimized crystal structure of BeTc2ClO from the Alexandria database. Energies are from PBE. Values from VASP.

Output
The uncorrected formation energy is 590 meV/atom. As for the space group: P4/mmm, No. 123.

Structure (Quantum ESPRESSO input):
```
&SYSTEM
  ibrav = 0, nat = 5, ntyp = 4
/
ATOMIC_SPECIES
Tc 98.00 Tc.upf
O 16.00 O.upf
Cl 35.45 Cl.upf
Be 9.01 Be.upf
ATOMIC_POSITIONS crystal
Tc 0.500 0.000 0.000
Tc 0.000 0.000 0.500
O 0.000 0.500 0.000
Cl 0.500 0.500 0.500
Be 0.000 0.000 0.000
CELL_PARAMETERS angstrom
4.850 0.000 0.000
0.000 3.075 0.000
0.000 0.000 4.850
```

Here is an optimized crystal structure of CuReNi6 from the Alexandria database. Energies are from PBE. Values from VASP.

Output
Its energy above the lowest structure with this stoichiometry is 0 meV per atom. As for the space group: P4/mmm, No. 123. The formation energy is 0.00 eV/atom.

Structure (Quantum ESPRESSO input):
```
&SYSTEM
  ibrav = 0, nat = 8, ntyp = 3
/
ATOMIC_SPECIES
Ni 58.69 Ni.upf
Re 186.21 Re.upf
Cu 63.55 Cu.upf
ATOMIC_POSITIONS crystal
Ni 0.500 0.500 0.500
Ni 0.000 0.500 0.749
Ni 0.500 0.000 0.251
Ni 0.000 0.500 0.251
Ni 0.500 0.500 0.000
Ni 0.500 0.000 0.749
Re 0.000 0.000 0.500
Cu 0.000 0.000 0.000
CELL_PARAMETERS angstrom
3.594 0.000 0.000
0.000 3.594 0.000
0.000 0.000 7.079
```

Here is an optimized crystal structure of LaTcAg from the Alexandria database. Energies are from PBE. Values from VASP.

Output
Its energy above the lowest structure with this stoichiometry is 52 meV per atom. As for the space group: Fmm2, No. 42. The formation energy is 0.47 eV/atom.

Structure (Quantum ESPRESSO input):
```
&SYSTEM
  ibrav = 0, nat = 3, ntyp = 3
/
ATOMIC_SPECIES
Ag 107.87 Ag.upf
Tc 98.00 Tc.upf
La 138.91 La.upf
ATOMIC_POSITIONS crystal
Ag 0.018 0.018 0.982
Tc 0.669 0.669 0.331
La 0.313 0.313 0.687
CELL_PARAMETERS angstrom
-2.379 4.461 4.634
-2.364 1.505 6.012
2.553 1.613 1.233
```

Here is an optimized crystal structure of NaTi2Ir from the Alexandria database. Energies are from PBE. Values from VASP.

Output
Its energy above the lowest structure with this stoichiometry is 0 meV per atom. As for the space group: Fm-3m, No. 225. The formation energy is -0.05 eV/atom.

Structure (Quantum ESPRESSO input):
```
&SYSTEM
  ibrav = 0, nat = 4, ntyp = 3
/
ATOMIC_SPECIES
Ti 47.87 Ti.upf
Na 22.99 Na.upf
Ir 192.22 Ir.upf
ATOMIC_POSITIONS crystal
Ti 0.250 0.250 0.250
Ti 0.750 0.750 0.750
Na 0.000 0.000 0.000
Ir 0.500 0.500 0.500
CELL_PARAMETERS angstrom
-3.787 -0.887 -2.299
-3.498 2.851 0.223
-1.102 2.509 -3.592
```

Here is an optimized crystal structure of CdCu3Sb from the Alexandria database. Energies are from PBE. Values from VASP.

Output
The uncorrected formation energy is 543 meV/atom. Its energy above the lowest structure with this stoichiometry is 0 meV per atom. As for the space group: Pm-3m, No. 221.

Structure (Quantum ESPRESSO input):
```
&SYSTEM
  ibrav = 0, nat = 5, ntyp = 3
/
ATOMIC_SPECIES
Cd 112.41 Cd.upf
Cu 63.55 Cu.upf
Sb 121.76 Sb.upf
ATOMIC_POSITIONS crystal
Cd 0.500 0.500 0.500
Cu 0.500 0.000 0.000
Cu 0.000 0.500 0.000
Cu 0.000 0.000 0.500
Sb 0.000 0.000 0.000
CELL_PARAMETERS angstrom
4.911 0.000 0.000
0.000 4.911 0.000
0.000 0.000 4.911
```

In order of appearance, calculated volume = 60, 107, 240, 68, 396, 211, 119, 72, 91, 65, 65, 118 Å³/f.u..
In order of appearance, calculated total energy = -5.943, -6.727, -2.509, -8.789, -3.233, -6.776, -4.242, -5.662, -6.406, -5.575, -6.541, -2.922 eV/atom.
In order of appearance, magnetization = 0.00, 0.00, 2.02, 0.00, 0.00, 1.06, 0.00, 6.72, 0.00, 0.00, 0.00, 0.00 μB/f.u..